Entry 1:
Material: Tc3TePb
Method: DFT, PBE-GGA
State: relaxed

## Properties
- Size of the total moment: 0.677 μB/atom
- Total energy: -6.05 eV/atom

Cell lengths 4.906, 4.906, 4.906 Å; angles 90.00, 90.00, 90.00 degrees
Space group Pm-3m (No. 221)
Asymmetric unit:
1 Tc 0.000 0.000 0.500 (multiplicity 3)
2 Te 0.000 0.000 0.000 (multiplicity 1)
3 Pb 0.500 0.500 0.500 (multiplicity 1)


Entry 2:
Material: Ba5Zn2Ag5
Method: DFT, PBE-GGA
State: relaxed

## Properties
- Size of the total moment: 0.000 μB/atom
- ΔE_f: -0.225 eV/atom

Cell lengths 17.541, 4.585, 13.164 Å; angles 90.00, 130.73, 90.00 degrees
Space group C2/m (No. 12)
Asymmetric unit:
1 Ba 0.000 0.000 0.000 (multiplicity 2)
2 Ba 0.122 0.500 0.821 (multiplicity 4)
3 Ba 0.188 0.500 0.584 (multiplicity 4)
4 Zn 0.114 0.500 0.263 (multiplicity 4)
5 Ag 0.000 0.000 0.500 (multiplicity 2)
6 Ag 0.069 0.000 0.328 (multiplicity 4)
7 Ag 0.204 0.500 0.151 (multiplicity 4)


Entry 3:
Material: Mn3AgCl8
Method: DFT, PBE-GGA
State: relaxed

## Properties
- Size of the total moment: 1.162 μB/atom
- Total energy: -4.68 eV/atom

Cell lengths 13.094, 7.499, 7.511 Å; angles 90.00, 122.90, 90.00 degrees
Space group C2/m (No. 12)
Asymmetric unit:
1 Mn 0.000 0.000 0.000 (multiplicity 2)
2 Mn 0.250 0.250 0.000 (multiplicity 4)
3 Ag 0.000 0.500 0.000 (multiplicity 2)
4 Cl 0.013 0.215 0.787 (multiplicity 8)
5 Cl 0.247 0.000 0.228 (multiplicity 4)
6 Cl 0.247 0.500 0.214 (multiplicity 4)


Entry 4:
Material: Li2HgSeS
Method: DFT, PBE-GGA
State: relaxed

## Properties
- Size of the total moment: 0.000 μB/atom
- Total energy: -3.06 eV/atom

Cell lengths 4.129, 4.129, 6.171 Å; angles 90.00, 90.00, 90.00 degrees
Space group P4mm (No. 99)
Asymmetric unit:
1 Li 0.000 0.500 0.000 (multiplicity 2)
2 Hg 0.000 0.000 0.570 (multiplicity 1)
3 Se 0.500 0.500 0.710 (multiplicity 1)
4 S 0.000 0.000 0.170 (multiplicity 1)


no.,V (Å³ per cell)
1,118
2,802
3,619
4,105